No. 1
Here is a relaxed structure of Li4V3Cr3O12 from Alexandria. Energies are from GGA+U.

Computed properties:
The value obtained for the magnetic moment is 0.59 μB/atom. The uncorrected energy is -7.115 eV per atom. For the density, the calculation gives 3.89 g cm⁻³.

Cell lengths 5.167, 5.993, 7.892 Å; angles 78.11, 77.94, 72.62 degrees
Sites, in units of the cell vectors:
Li1 0.006 0.167 0.335
Li2 0.489 0.336 0.162
Li3 0.511 0.664 0.838
Li4 0.994 0.833 0.665
V1 0.000 0.000 0.000
V2 0.003 0.329 0.672
V3 0.997 0.671 0.328
Cr1 0.496 0.171 0.833
Cr2 0.500 0.500 0.500
Cr3 0.504 0.829 0.167
O1 0.226 0.368 0.422
O2 0.231 0.029 0.754
O3 0.248 0.810 0.402
O4 0.249 0.683 0.097
O5 0.258 0.486 0.731
O6 0.265 0.139 0.074
O7 0.735 0.861 0.926
O8 0.742 0.514 0.269
O9 0.751 0.317 0.903
O10 0.752 0.190 0.598
O11 0.769 0.971 0.246
O12 0.774 0.632 0.578

No. 2
Here is a relaxed structure of Li3V5Cr2O12 from Alexandria. Energies are from GGA+U.

Computed properties:
The value obtained for the magnetic moment is 0.73 μB/atom. The uncorrected energy is -7.341 eV per atom. For the density, the calculation gives 4.18 g cm⁻³.

Cell lengths 5.227, 5.227, 9.943 Å; angles 95.73, 95.73, 121.33 degrees
Sites, in units of the cell vectors:
Li1 0.000 0.000 0.000
Li2 0.392 0.082 0.237
Li3 0.918 0.608 0.763
V1 0.072 0.405 0.237
V2 0.163 0.837 0.500
V3 0.503 0.497 0.500
V4 0.595 0.928 0.763
V5 0.643 0.357 0.000
Cr1 0.323 0.677 0.000
Cr2 0.836 0.164 0.500
O1 0.049 0.698 0.120
O2 0.128 0.137 0.387
O3 0.221 0.562 0.613
O4 0.302 0.951 0.880
O5 0.341 0.385 0.117
O6 0.438 0.779 0.387
O7 0.558 0.199 0.613
O8 0.615 0.659 0.883
O9 0.686 0.086 0.118
O10 0.801 0.442 0.387
O11 0.863 0.872 0.613
O12 0.914 0.314 0.882

No. 3
Here is a relaxed structure of LiVCrO4 from Alexandria. Energies are from GGA+U.

Computed properties:
The value obtained for the magnetic moment is 0.57 μB/atom. The excess energy over the best structure of this formula in the dataset comes out at 75 meV/atom. For the density, the calculation gives 3.99 g cm⁻³.

Cell lengths 5.848, 5.848, 5.848 Å; angles 118.90, 117.67, 93.00 degrees
Sites, in units of the cell vectors:
Li1 0.500 0.000 0.000
Li2 0.500 0.500 0.500
V1 0.121 0.371 0.750
V2 0.879 0.629 0.250
Cr1 0.000 0.000 0.000
Cr2 0.500 0.000 0.500
O1 0.246 0.226 0.480
O2 0.246 0.767 0.020
O3 0.249 0.749 0.500
O4 0.250 0.251 0.000
O5 0.750 0.749 0.000
O6 0.751 0.251 0.500
O7 0.754 0.233 0.980
O8 0.754 0.774 0.520

No. 4
Here is a relaxed structure of LiVCrO4 from Alexandria. Energies are from GGA+U.

Computed properties:
The value obtained for the magnetic moment is 0.57 μB/atom. The excess energy over the best structure of this formula in the dataset comes out at 0 meV/atom. For the density, the calculation gives 3.87 g cm⁻³.

Cell lengths 5.926, 5.926, 5.926 Å; angles 119.20, 118.85, 91.69 degrees
Sites, in units of the cell vectors:
Li1 0.374 0.124 0.250
Li2 0.626 0.876 0.750
V1 0.000 0.000 0.500
V2 0.000 0.500 0.000
Cr1 0.000 0.500 0.500
Cr2 0.500 0.500 0.000
O1 0.215 0.744 0.471
O2 0.227 0.256 0.971
O3 0.232 0.256 0.524
O4 0.232 0.708 0.976
O5 0.768 0.292 0.024
O6 0.768 0.744 0.476
O7 0.773 0.744 0.029
O8 0.785 0.256 0.529

No. 5
Here is a relaxed structure of Li4V3Cr3W2O16 from Alexandria. Energies are from GGA+U.

Computed properties:
The value obtained for the density of states at the Fermi level is 0.0 states/eV per cell. The value obtained for the magnetic moment is 0.61 μB/atom. The uncorrected energy is -7.297 eV per atom. For the density, the calculation gives 5.28 g cm⁻³.

Cell lengths 5.985, 5.985, 9.729 Å; angles 90.03, 90.03, 59.97 degrees
Sites, in units of the cell vectors:
Li1 0.000 0.000 0.000
Li2 0.001 0.001 0.499
Li3 0.337 0.337 0.588
Li4 0.671 0.671 0.091
V1 0.171 0.171 0.280
V2 0.342 0.836 0.780
V3 0.836 0.342 0.780
Cr1 0.174 0.663 0.278
Cr2 0.663 0.174 0.278
Cr3 0.833 0.833 0.777
W1 0.336 0.336 0.007
W2 0.670 0.670 0.506
O1 0.002 0.002 0.185
O2 0.003 0.003 0.684
O3 0.043 0.485 0.147
O4 0.168 0.168 0.901
O5 0.170 0.664 0.897
O6 0.334 0.832 0.398
O7 0.335 0.335 0.384
O8 0.484 0.484 0.152
O9 0.485 0.043 0.147
O10 0.525 0.525 0.644
O11 0.525 0.966 0.649
O12 0.664 0.170 0.897
O13 0.669 0.669 0.885
O14 0.831 0.831 0.397
O15 0.832 0.334 0.398
O16 0.966 0.525 0.649

No. 6
Here is a relaxed structure of Li4VCrW2O12 from Alexandria. Energies are from GGA+U.

Computed properties:
The value obtained for the density of states at the Fermi level is 0.0 states/eV per cell. The value obtained for the magnetic moment is 0.15 μB/atom. The uncorrected energy is -6.857 eV per atom. For the density, the calculation gives 5.54 g cm⁻³.

Cell lengths 5.136, 5.421, 7.460 Å; angles 85.48, 89.95, 89.88 degrees
Sites, in units of the cell vectors:
Li1 0.000 0.000 0.000
Li2 0.002 0.167 0.584
Li3 0.489 0.516 0.004
Li4 0.504 0.642 0.574
V1 0.496 0.051 0.275
Cr1 0.999 0.590 0.794
W1 0.507 0.087 0.777
W2 0.988 0.557 0.291
O1 0.116 0.610 0.051
O2 0.191 0.909 0.739
O3 0.195 0.282 0.352
O4 0.308 0.791 0.350
O5 0.316 0.395 0.740
O6 0.381 0.096 0.050
O7 0.618 0.079 0.538
O8 0.679 0.781 0.854
O9 0.688 0.393 0.230
O10 0.793 0.898 0.233
O11 0.808 0.268 0.849
O12 0.885 0.577 0.537

> Among the records above, which one has the lowest magnetic moment?

Li4VCrW2O12